VASP calculation (PBE) on an optimized crystal structure of Zr2ZnNi.

abc: 5.6336 5.6336 4.5100
angles: 66.42 66.42 33.10
Element x y z (fractional)
Zr1 0.0011 0.0011 0.9991
Zr2 0.7747 0.7747 0.7253
Ni1 0.5132 0.5132 0.4867
Zn1 0.2111 0.2111 0.2889

M_tot (μB per cell): 0.00
Mass density (g/cm3): 7.2
Total energy (eV for the cell shown): -25.05
Space group: Imm2